# AsHOs2 (PBE, optimized geometry)
# * E_tot: -6.834 eV/atom
# * distance to the lowest polymorph of the same formula: 162 meV/atom
# * volume: 12.22 Å³ per atom
data_AsHOs2
_space_group_name_H-M_alt 'F m -3 m'
_space_group_IT_number 225
_space_group_name_Hall '-F 4 2 3'
_cell_length_a 5.8039
_cell_length_b 5.8039
_cell_length_c 5.8039
_cell_angle_alpha 90.00
_cell_angle_beta 90.00
_cell_angle_gamma 90.00
loop_
_atom_site_label
_atom_site_type_symbol
_atom_site_fract_x
_atom_site_fract_y
_atom_site_fract_z
_atom_site_occupancy
As1 As 0.0000 0.0000 0.0000 1
H1 H 0.0000 0.0000 0.5000 1
Os1 Os 0.2500 0.2500 0.2500 1

=====

# Pm2Sm6Ho (PBE, optimized geometry)
# * E_tot: -4.653 eV/atom
# * distance to the lowest polymorph of the same formula: 0 meV/atom
# * volume: 33.34 Å³ per atom
# * formation enthalpy at 0 K: 5.52 kJ per mole of atoms
data_Pm2Sm6Ho
_space_group_name_H-M_alt 'C m m m'
_space_group_IT_number 65
_space_group_name_Hall '-C 2 2'
_cell_length_a 9.8756
_cell_length_b 17.1733
_cell_length_c 3.5385
_cell_angle_alpha 90.00
_cell_angle_beta 90.00
_cell_angle_gamma 90.00
loop_
_atom_site_label
_atom_site_type_symbol
_atom_site_fract_x
_atom_site_fract_y
_atom_site_fract_z
_atom_site_occupancy
Pm1 Pm 0.0000 0.1668 0.0000 1
Sm1 Sm 0.1662 0.3344 0.5000 1
Sm2 Sm 0.1686 0.0000 0.5000 1
Ho1 Ho 0.0000 0.5000 0.0000 1

=====

# ScSiHg2 (PBE, optimized geometry)
# * E_tot: -3.127 eV/atom
# * E_form (uncorrected): -37 meV per atom
# * volume: 22.22 Å³ per atom
data_ScSiHg2
_space_group_name_H-M_alt 'I -4 2 d'
_space_group_IT_number 122
_space_group_name_Hall 'I -4 2bw'
_cell_length_a 4.0782
_cell_length_b 4.0782
_cell_length_c 21.3753
_cell_angle_alpha 90.00
_cell_angle_beta 90.00
_cell_angle_gamma 90.00
loop_
_atom_site_label
_atom_site_type_symbol
_atom_site_fract_x
_atom_site_fract_y
_atom_site_fract_z
_atom_site_occupancy
Sc1 Sc 0.0000 0.0000 0.0000 1
Si1 Si 0.0000 0.0000 0.5000 1
Hg1 Hg 0.2456 0.2500 0.6250 1

=====

# LaGaPd2 (PBE, optimized geometry)
# * E_tot: -5.082 eV/atom
# * volume: 24.32 Å³ per atom
# * formation enthalpy at 0 K: -47.96 kJ per mole of atoms
data_LaGaPd2
_space_group_name_H-M_alt 'I -4 2 d'
_space_group_IT_number 122
_space_group_name_Hall 'I -4 2bw'
_cell_length_a 4.8527
_cell_length_b 4.8527
_cell_length_c 16.5255
_cell_angle_alpha 90.00
_cell_angle_beta 90.00
_cell_angle_gamma 90.00
loop_
_atom_site_label
_atom_site_type_symbol
_atom_site_fract_x
_atom_site_fract_y
_atom_site_fract_z
_atom_site_occupancy
La1 La 0.0000 0.0000 0.0000 1
Ga1 Ga 0.0000 0.0000 0.5000 1
Pd1 Pd 0.1253 0.2500 0.6250 1

=====

# AgSb2Br2 (PBE, optimized geometry)
# * E_tot: -3.057 eV/atom
# * E_form (uncorrected): -169 meV per atom
# * distance to the lowest polymorph of the same formula: 0 meV/atom
# * volume: 30.10 Å³ per atom
data_AgSb2Br2
_space_group_name_H-M_alt 'P 4/m b m'
_space_group_IT_number 127
_space_group_name_Hall '-P 4 2ab'
_cell_length_a 7.3376
_cell_length_b 7.3376
_cell_length_c 5.5902
_cell_angle_alpha 90.00
_cell_angle_beta 90.00
_cell_angle_gamma 90.00
loop_
_atom_site_label
_atom_site_type_symbol
_atom_site_fract_x
_atom_site_fract_y
_atom_site_fract_z
_atom_site_occupancy
Ag1 Ag 0.0000 0.0000 0.0000 1
Sb1 Sb 0.1437 0.3563 0.0000 1
Br1 Br 0.1823 0.3177 0.5000 1

=====

# CsNbGe2 (PBE, optimized geometry)
# * E_tot: -4.744 eV/atom
# * distance to the lowest polymorph of the same formula: 0 meV/atom
# * volume: 40.84 Å³ per atom
# * formation enthalpy at 0 K: 28.52 kJ per mole of atoms
data_CsNbGe2
_space_group_name_H-M_alt 'I 41/a m d'
_space_group_IT_number 141
_cell_length_a 6.5828
_cell_length_b 6.5828
_cell_length_c 15.0787
_cell_angle_alpha 90.00
_cell_angle_beta 90.00
_cell_angle_gamma 90.00
loop_
_space_group_symop_operation_xyz
'x,y,z'
'-x,-y,-z'
'-y+1/4,x+3/4,z+1/4'
'y+1/4,-x+3/4,-z+1/4'
'-x+1/2,-y,z+1/2'
'x+1/2,y,-z+1/2'
'y+1/4,-x+1/4,z+3/4'
'-y+1/4,x+1/4,-z+3/4'
'x,-y,-z'
'-x,y,z'
'-y+1/4,-x+1/4,-z+3/4'
'y+1/4,x+1/4,z+3/4'
'-x+1/2,y,-z+1/2'
'x+1/2,-y,z+1/2'
'y+1/4,x+3/4,-z+1/4'
'-y+1/4,-x+3/4,z+1/4'
'x+1/2,y+1/2,z+1/2'
'-x+1/2,-y+1/2,-z+1/2'
'-y+3/4,x+1/4,z+3/4'
'y+3/4,-x+1/4,-z+3/4'
'-x,-y+1/2,z'
'x,y+1/2,-z'
'y+3/4,-x+3/4,z+1/4'
'-y+3/4,x+3/4,-z+1/4'
'x+1/2,-y+1/2,-z+1/2'
'-x+1/2,y+1/2,z+1/2'
'-y+3/4,-x+3/4,-z+1/4'
'y+3/4,x+3/4,z+1/4'
'-x,y+1/2,-z'
'x,-y+1/2,z'
'y+3/4,x+1/4,-z+3/4'
'-y+3/4,-x+1/4,z+3/4'
loop_
_atom_site_label
_atom_site_type_symbol
_atom_site_fract_x
_atom_site_fract_y
_atom_site_fract_z
_atom_site_occupancy
Cs1 Cs 0.0000 0.2500 0.3750 1
Nb1 Nb 0.0000 0.2500 0.8750 1
Ge1 Ge 0.0000 0.0000 0.0000 1

=====

Please write out number 4 again, unchanged.
# LaGaPd2 (PBE, optimized geometry)
# * E_tot: -5.082 eV/atom
# * volume: 24.32 Å³ per atom
# * formation enthalpy at 0 K: -47.96 kJ per mole of atoms
data_LaGaPd2
_space_group_name_H-M_alt 'I -4 2 d'
_space_group_IT_number 122
_space_group_name_Hall 'I -4 2bw'
_cell_length_a 4.8527
_cell_length_b 4.8527
_cell_length_c 16.5255
_cell_angle_alpha 90.00
_cell_angle_beta 90.00
_cell_angle_gamma 90.00
loop_
_atom_site_label
_atom_site_type_symbol
_atom_site_fract_x
_atom_site_fract_y
_atom_site_fract_z
_atom_site_occupancy
La1 La 0.0000 0.0000 0.0000 1
Ga1 Ga 0.0000 0.0000 0.5000 1
Pd1 Pd 0.1253 0.2500 0.6250 1

=====

What did the fifth record say?
# AgSb2Br2 (PBE, optimized geometry)
# * E_tot: -3.057 eV/atom
# * E_form (uncorrected): -169 meV per atom
# * distance to the lowest polymorph of the same formula: 0 meV/atom
# * volume: 30.10 Å³ per atom
data_AgSb2Br2
_space_group_name_H-M_alt 'P 4/m b m'
_space_group_IT_number 127
_space_group_name_Hall '-P 4 2ab'
_cell_length_a 7.3376
_cell_length_b 7.3376
_cell_length_c 5.5902
_cell_angle_alpha 90.00
_cell_angle_beta 90.00
_cell_angle_gamma 90.00
loop_
_atom_site_label
_atom_site_type_symbol
_atom_site_fract_x
_atom_site_fract_y
_atom_site_fract_z
_atom_site_occupancy
Ag1 Ag 0.0000 0.0000 0.0000 1
Sb1 Sb 0.1437 0.3563 0.0000 1
Br1 Br 0.1823 0.3177 0.5000 1

=====

- Which of these has the lowest volume?
  AsHOs2

=====

- What is the E_tot in the fourth record?
  -5.082 eV/atom